The following is a DFT calculation (GGA-PBE) of an optimized crystal structure of V6Re5W.

The electronic total energy comes out at -11.145 eV per atom.

The space group is Immm (No. 71) and the conventional cell measures 4.311, 6.095 and 12.916 Å, with angles of 90.00, 90.00 and 90.00 degrees. The distinct sites, in fractional coordinates, are V at (0.000, 0.249, 0.000), V at (0.000, 0.251, 0.333), Re at (0.000, 0.000, 0.167), Re at (0.000, 0.500, 0.167), Re at (0.000, 0.500, 0.500) and W at (0.000, 0.000, 0.500).

***

The following is a DFT calculation (GGA-PBE) of an optimized crystal structure of VRe2W3.

The electronic total energy comes out at -12.037 eV per atom.

The space group is C2/m (No. 12) and the conventional cell measures 13.165, 4.371 and 6.774 Å, with angles of 90.00, 96.60 and 90.00 degrees. The distinct sites, in fractional coordinates, are V at (0.152, 0.000, 0.270), Re at (0.040, 0.500, 0.198), Re at (0.229, 0.000, 0.649), W at (0.075, 0.000, 0.879), W at (0.111, 0.500, 0.570) and W at (0.194, 0.500, 0.959).

***

The following is a DFT calculation (GGA-PBE) of an optimized crystal structure of Y2VRe.

The calculation puts the energy above the most stable polymorph in this dataset at 2.04 eV per formula unit.

The space group is I-42d (No. 122) and the conventional cell measures 7.835, 7.835 and 5.913 Å, with angles of 90.00, 90.00 and 90.00 degrees. The distinct sites, in fractional coordinates, are Y at (0.241, 0.250, 0.125), V at (0.000, 0.000, 0.500) and Re at (0.000, 0.000, 0.000).

***

The following is a DFT calculation (GGA-PBE) of an optimized crystal structure of YV2Re2.

The calculation puts the energy above the most stable polymorph in this dataset at 0.07 eV per formula unit.

The space group is P4/mbm (No. 127) and the conventional cell measures 7.687, 7.687 and 2.846 Å, with angles of 90.00, 90.00 and 90.00 degrees. The distinct sites, in fractional coordinates, are Y at (0.000, 0.000, 0.000), V at (0.140, 0.360, 0.000) and Re at (0.148, 0.648, 0.500).

***

The following is a DFT calculation (GGA-PBE) of an optimized crystal structure of YVRe3.

The calculation puts the energy above the most stable polymorph in this dataset at 10.59 eV per formula unit.

The space group is Pm-3m (No. 221) and the conventional cell measures 4.771, 4.771 and 4.771 Å, with angles of 90.00, 90.00 and 90.00 degrees. The distinct sites, in fractional coordinates, are Y at (0.000, 0.000, 0.000), V at (0.500, 0.500, 0.500) and Re at (0.000, 0.000, 0.500).

***

The following is a DFT calculation (GGA-PBE) of an optimized crystal structure of YV2Re.

The calculation puts the energy above the most stable polymorph in this dataset at 1.23 eV per formula unit.

The space group is I-42d (No. 122) and the conventional cell measures 7.296, 7.296 and 5.771 Å, with angles of 90.00, 90.00 and 90.00 degrees. The distinct sites, in fractional coordinates, are Y at (0.000, 0.000, 0.000), V at (0.194, 0.250, 0.625) and Re at (0.000, 0.000, 0.500).

***

The following is a DFT calculation (GGA-PBE) of an optimized crystal structure of YVRe.

The electronic total energy comes out at -9.215 eV per atom.

The space group is Cmcm (No. 63) and the conventional cell measures 3.445, 14.025 and 4.744 Å, with angles of 90.00, 90.00 and 90.00 degrees. The distinct sites, in fractional coordinates, are Y at (0.000, 0.078, 0.250), V at (0.000, 0.246, 0.750) and Re at (0.000, 0.374, 0.250).

***

The following is a DFT calculation (GGA-PBE) of an optimized crystal structure of Y2VRe.

The calculation puts the energy above the most stable polymorph in this dataset at 0.00 eV per formula unit.

The space group is Fm-3m (No. 225) and the conventional cell measures 7.015, 7.015 and 7.015 Å, with angles of 90.00, 90.00 and 90.00 degrees. The distinct sites, in fractional coordinates, are Y at (0.250, 0.250, 0.250), V at (0.000, 0.000, 0.000) and Re at (0.000, 0.000, 0.500).

***

The following is a DFT calculation (GGA-PBE) of an optimized crystal structure of YV2Re.

The calculation puts the energy above the most stable polymorph in this dataset at 0.00 eV per formula unit.

The space group is Fm-3m (No. 225) and the conventional cell measures 6.423, 6.423 and 6.423 Å, with angles of 90.00, 90.00 and 90.00 degrees. The distinct sites, in fractional coordinates, are Y at (0.000, 0.000, 0.000), V at (0.250, 0.250, 0.250) and Re at (0.000, 0.000, 0.500).

***

The following is a DFT calculation (GGA-PBE) of an optimized crystal structure of YVRe2.

The calculation puts the energy above the most stable polymorph in this dataset at 2.22 eV per formula unit.

The space group is I4_1/amd (No. 141, origin choice 2) and the conventional cell measures 4.807, 4.807 and 16.507 Å, with angles of 90.00, 90.00 and 90.00 degrees. The distinct sites, in fractional coordinates, are Y at (0.000, 0.250, 0.375), V at (0.000, 0.250, 0.875) and Re at (0.000, 0.000, 0.000).

***

The following is a DFT calculation (GGA-PBE) of an optimized crystal structure of YVRe2.

The calculation puts the energy above the most stable polymorph in this dataset at 0.00 eV per formula unit.

The space group is Fm-3m (No. 225) and the conventional cell measures 6.449, 6.449 and 6.449 Å, with angles of 90.00, 90.00 and 90.00 degrees. The distinct sites, in fractional coordinates, are Y at (0.000, 0.000, 0.000), V at (0.000, 0.000, 0.500) and Re at (0.250, 0.250, 0.250).

***

The following is a DFT calculation (GGA-PBE) of an optimized crystal structure of YVRe3.

The calculation puts the energy above the most stable polymorph in this dataset at 0.00 eV per formula unit.

The space group is Pm-3m (No. 221) and the conventional cell measures 4.587, 4.587 and 4.587 Å, with angles of 90.00, 90.00 and 90.00 degrees. The distinct sites, in fractional coordinates, are Y at (0.000, 0.000, 0.000), V at (0.500, 0.500, 0.500) and Re at (0.000, 0.500, 0.500).

***

The following is a DFT calculation (GGA-PBE) of an optimized crystal structure of YV2Re2.

The calculation puts the energy above the most stable polymorph in this dataset at 0.00 eV per formula unit.

The space group is I4/mmm (No. 139) and the conventional cell measures 4.243, 4.243 and 10.195 Å, with angles of 90.00, 90.00 and 90.00 degrees. The distinct sites, in fractional coordinates, are Y at (0.000, 0.000, 0.000), V at (0.000, 0.000, 0.376) and Re at (0.000, 0.500, 0.250).

***

The following is a DFT calculation (GGA-PBE) of an optimized crystal structure of Y2V2Re.

The electronic total energy comes out at -8.515 eV per atom.

The space group is P4/mbm (No. 127) and the conventional cell measures 6.365, 6.365 and 5.033 Å, with angles of 90.00, 90.00 and 90.00 degrees. The distinct sites, in fractional coordinates, are Y at (0.176, 0.324, 0.000), V at (0.138, 0.638, 0.500) and Re at (0.000, 0.000, 0.500).

***

The following is a DFT calculation (GGA-PBE) of an optimized crystal structure of V2Zn2Re.

The electronic total energy comes out at -6.463 eV per atom.

The space group is P4/mbm (No. 127) and the conventional cell measures 6.620, 6.620 and 3.173 Å, with angles of 90.00, 90.00 and 90.00 degrees. The distinct sites, in fractional coordinates, are V at (0.178, 0.322, 0.000), Zn at (0.125, 0.625, 0.500) and Re at (0.000, 0.000, 0.500).

***

The following is a DFT calculation (GGA-PBE) of an optimized crystal structure of VZnRe3.

The calculation puts the energy above the most stable polymorph in this dataset at 1.44 eV per formula unit.

The space group is Pm-3m (No. 221) and the conventional cell measures 4.439, 4.439 and 4.439 Å, with angles of 90.00, 90.00 and 90.00 degrees. The distinct sites, in fractional coordinates, are V at (0.000, 0.000, 0.000), Zn at (0.500, 0.500, 0.500) and Re at (0.000, 0.500, 0.500).

***

The following is a DFT calculation (GGA-PBE) of an optimized crystal structure of VZnRe3.

The calculation puts the energy above the most stable polymorph in this dataset at 0.00 eV per formula unit.

The space group is Pm-3m (No. 221) and the conventional cell measures 4.497, 4.497 and 4.497 Å, with angles of 90.00, 90.00 and 90.00 degrees. The distinct sites, in fractional coordinates, are V at (0.000, 0.000, 0.000), Zn at (0.500, 0.500, 0.500) and Re at (0.000, 0.000, 0.500).

***

The following is a DFT calculation (GGA-PBE) of an optimized crystal structure of ZrVRe2.

The electronic total energy comes out at -9.941 eV per atom.

The space group is I-42d (No. 122) and the conventional cell measures 3.805, 3.805 and 19.836 Å, with angles of 90.00, 90.00 and 90.00 degrees. The distinct sites, in fractional coordinates, are Zr at (0.000, 0.000, 0.000), V at (0.000, 0.000, 0.500) and Re at (0.197, 0.250, 0.625).

***

The following is a DFT calculation (GGA-PBE) of an optimized crystal structure of Zr2V3Re.

The electronic total energy comes out at -9.692 eV per atom.

The space group is R-3m (No. 166, hexagonal axes) and the conventional cell measures 5.2904, 5.2904 and 12.5184 Å, with angles of 90.00, 90.00 and 120.00 degrees. The distinct sites, in fractional coordinates, are Zr at (0.0000, 0.0000, 0.1254), V at (0.0000, 0.5000, 0.0000) and Re at (0.0000, 0.0000, 0.5000).

***

The following is a DFT calculation (GGA-PBE) of an optimized crystal structure of ZrV2Re2.

The calculation puts the energy above the most stable polymorph in this dataset at 0.14 eV per formula unit.

The space group is P4/mbm (No. 127) and the conventional cell measures 7.535, 7.535 and 2.856 Å, with angles of 90.00, 90.00 and 90.00 degrees. The distinct sites, in fractional coordinates, are Zr at (0.000, 0.000, 0.000), V at (0.146, 0.354, 0.500) and Re at (0.146, 0.646, 0.000).

***

| no. | total moment (μB/f.u.) |
| --- | --- |
| 1 | 0.00 |
| 2 | 0.00 |
| 3 | 2.89 |
| 4 | 0.00 |
| 5 | 1.11 |
| 6 | 0.00 |
| 7 | 0.00 |
| 8 | 3.66 |
| 9 | 0.03 |
| 10 | 0.00 |
| 11 | 0.00 |
| 12 | 0.82 |
| 13 | 1.38 |
| 14 | 0.52 |
| 15 | 0.00 |
| 16 | 0.00 |
| 17 | 0.08 |
| 18 | 0.00 |
| 19 | 0.00 |
| 20 | 0.04 |